Compound: Zn2SnRh2
Source: Alexandria
Functional: PBE-GGA
Structure: optimized geometry

## Properties
N(E_F)   0.57 states/eV/atom
Uncorrected energy   -44.9 eV/cell
Symmetry   No. 127
Energy relative to the elements   -0.235 eV per atom
Offset from the most stable computed form   59 meV/atom

The structure in POSCAR format:
```
Zn2SnRh2
1.0
-2.4356 5.2895 4.2903
-5.7315 -4.0531 1.7433
1.5203 -1.1622 2.2960
Zn Rh Sn
4 4 2
direct
0.3788 0.8788 0.0000
0.8788 0.6212 0.0000
0.6212 0.1212 0.0000
0.1212 0.3788 0.0000
0.1751 0.6751 0.5000
0.6751 0.8249 0.5000
0.8249 0.3249 0.5000
0.3249 0.1751 0.5000
0.0000 0.0000 0.0000
0.5000 0.5000 0.0000
```